VASP calculation (GGA-PBE) on an optimized crystal structure of Na2NpF8.

Properties
energy relative to the elements, uncorrected	-2.790	eV per atom
crystal system	monoclinic
distance to the lowest polymorph of the same formula	62	meV/atom

Unit cell a=14.7949 b=4.0211 c=5.1619 alpha=90.00 beta=103.64 gamma=90.00
Closest atoms and distances in Å follow each position.
Space group C2/m (No. 12)
Asymmetric unit:
Na (0.2109, 0.0000, 0.2133) x4  3 F 2.27-2.33
Np (0.0000, 0.5000, 0.5000) x2  4 F 2.01-2.03
F (0.0245, 0.0000, 0.3027) x4  5 F 2.32-2.57, 2 Np 2.32
F (0.0804, 0.5000, 0.8724) x4  1 Np 2.01
F (0.1279, 0.5000, 0.4194) x4  1 Np 2.03
F (0.2165, 0.0000, 0.7662) x4  3 Na 2.27-2.33